DFT (PBE-GGA) results for a relaxed structure of Ac2CeIn.

Output
Crystal system: tetragonal
E in eV/atom: -4.306
Formation energy in eV/atom: -0.08
Total magnetic moment in μB/f.u.: 1.05
Symmetry: No. 123
Excess energy over the best structure of this formula in the dataset in meV per atom: 32.8

a = 3.8907 Å, b = 3.8907 Å, c = 9.6432 Å
α = 90.00°, β = 90.00°, γ = 90.00°
Last column: nearest neighbours and their distance in Å.
Sites, in units of the cell vectors:
Ac 0.0000 0.0000 0.7689  4 In 3.54, 4 Ce 3.78, 4 Ac 3.89
Ac 0.0000 0.0000 0.2311  4 In 3.54, 4 Ce 3.78, 4 Ac 3.89
Ce 0.5000 0.5000 0.5000  8 Ac 3.78, 4 Ce 3.89
In 0.5000 0.5000 0.0000  8 Ac 3.54, 4 In 3.89

=====

DFT (PBE-GGA) results for a relaxed structure of AcCeIn.

Output
Crystal system: tetragonal
E in eV/atom: -4.413
Formation energy in eV/atom: -0.15
Total magnetic moment in μB/f.u.: 1.44
Symmetry: No. 107
Excess energy over the best structure of this formula in the dataset in meV per atom: 110.8

a = 4.1271 Å, b = 4.1271 Å, c = 6.5875 Å
α = 108.26°, β = 108.26°, γ = 90.00°
Last column: nearest neighbours and their distance in Å.
Sites, in units of the cell vectors:
Ce 0.9716 0.9716 0.9433  4 In 3.32, 1 Ac 3.55
Ac 0.2721 0.2721 0.5441  4 In 3.51, 5 Ce 3.55-3.75
In 0.6063 0.6063 0.2126  4 Ce 3.32, 4 Ac 3.51

=====

DFT (PBE-GGA) results for a relaxed structure of Ac2CeIn.

Output
Crystal system: trigonal
E in eV/atom: -4.037
Formation energy in eV/atom: 0.19
Total magnetic moment in μB/f.u.: 1.63
Symmetry: No. 166
Excess energy over the best structure of this formula in the dataset in meV per atom: 302.3

a = 3.7156 Å, b = 3.7156 Å, c = 12.8168 Å
α = 81.67°, β = 81.67°, γ = 60.00°
Last column: nearest neighbours and their distance in Å.
Sites, in units of the cell vectors:
Ac 0.9062 0.9062 0.2814  3 In 3.50, 1 Ce 3.56, 6 Ac 3.72
Ac 0.0938 0.0938 0.7186  3 In 3.50, 1 Ce 3.56, 6 Ac 3.72
Ce 0.0000 0.0000 0.0000  2 Ac 3.56, 6 Ce 3.72
In 0.5000 0.5000 0.5000  6 Ac 3.50, 6 In 3.72

=====

DFT (PBE-GGA) results for a relaxed structure of Ac2Ce4In5.

Output
Crystal system: orthorhombic
E in eV/atom: -4.234
Formation energy in eV/atom: -0.08
Total magnetic moment in μB/f.u.: 2.25
Symmetry: No. 69

a = 6.5909 Å, b = 6.1035 Å, c = 10.9559 Å
α = 80.65°, β = 72.49°, γ = 57.32°
Last column: nearest neighbours and their distance in Å.
Sites, in units of the cell vectors:
In 0.7500 0.5000 0.5000  4 Ce 3.17, 2 In 3.30
In 0.5000 0.0000 0.0000  4 In 3.05, 4 Ce 3.11
In 0.2500 0.5000 0.5000  4 Ce 3.17, 2 In 3.30
In 0.5000 0.5000 0.0000  4 In 3.05-3.30
In 0.0000 0.5000 0.0000  4 In 3.05-3.30
Ce 0.4970 0.2719 0.7341  1 Ce 2.79, 1 In 3.11
Ce 0.5030 0.7281 0.2659  1 Ce 2.79, 1 In 3.11
Ce 0.7689 0.7281 0.7341  1 Ce 2.79, 1 In 3.11
Ce 0.2311 0.2719 0.2659  1 Ce 2.79, 1 In 3.11
Ac 0.1323 0.0000 0.7354  6 Ce 3.58-3.74, 4 In 3.92
Ac 0.8677 0.0000 0.2646  6 Ce 3.58-3.74, 4 In 3.92

=====

DFT (PBE-GGA) results for a relaxed structure of AcCeIn.

Output
Crystal system: monoclinic
E in eV/atom: -4.524
Formation energy in eV/atom: -0.26
Total magnetic moment in μB/f.u.: 0.09
Symmetry: No. 11
Excess energy over the best structure of this formula in the dataset in meV per atom: 0.0

a = 3.8692 Å, b = 4.0282 Å, c = 12.6284 Å
α = 89.97°, β = 91.98°, γ = 90.00°
Last column: nearest neighbours and their distance in Å.
Sites, in units of the cell vectors:
In 0.3207 0.7907 0.9600  5 Ce 3.32-3.39, 4 Ac 3.51-3.60
In 0.9242 0.2915 0.5523  5 Ce 3.33-3.39, 4 Ac 3.51-3.60
Ce 0.4557 0.7912 0.7001  2 Ce 2.76
Ce 0.7891 0.2910 0.8122  2 Ce 2.76
Ac 0.8614 0.2913 0.1344  4 In 3.51-3.60, 2 Ac 3.87
Ac 0.3834 0.7910 0.3779  4 In 3.51-3.60, 2 Ac 3.87

=====

DFT (PBE-GGA) results for a relaxed structure of AcCeIn.

Output
Crystal system: trigonal
E in eV/atom: -4.363
Formation energy in eV/atom: -0.10
Total magnetic moment in μB/f.u.: 1.25
Symmetry: No. 156
Excess energy over the best structure of this formula in the dataset in meV per atom: 160.8

a = 3.8078 Å, b = 5.4642 Å, c = 5.4642 Å
α = 120.00°, β = 90.00°, γ = 90.00°
Last column: nearest neighbours and their distance in Å.
Sites, in units of the cell vectors:
Ce 0.9501 0.0000 0.0000  3 In 3.29, 3 Ac 3.50
In 0.7029 0.6667 0.3333  3 Ce 3.29, 3 Ac 3.43
Ac 0.3470 0.3333 0.6667  3 In 3.43, 3 Ce 3.50, 2 Ac 3.81